BeCl2 | the Alexandria database | GGA-PBEsol | optimized geometry; E above lowest polymorph = 289 meV per atom; energy relative to the elements, uncorrected = -3.4 eV per formula unit; symmetry = No. 58; density of states at the Fermi level = 0.00 states/eV/f.u.
1.0
5.6059 0.0000 0.0000
0.0000 6.1105 0.0000
0.0000 0.0000 3.1030
Be Cl
2 4
Direct
0.0000 0.0000 0.0000
0.5000 0.5000 0.5000
0.2065 0.1444 0.5000
0.2935 0.6444 0.0000
0.7065 0.3556 0.0000
0.7935 0.8556 0.5000

***

FeB2RhCl | the Alexandria database | GGA-PBEsol | optimized geometry; energy relative to the elements, uncorrected = 5.9 eV per formula unit; symmetry = No. 123; density of states at the Fermi level = 7.14 states/eV/f.u.
1.0
3.9105 0.0000 0.0000
0.0000 3.9105 0.0000
0.0000 0.0000 5.1113
Fe B Rh Cl
1 2 1 1
Direct
0.0000 0.0000 0.0000
0.0000 0.5000 0.5000
0.5000 0.0000 0.5000
0.5000 0.5000 0.5000
0.5000 0.5000 0.0000

***

Cr2ReTe | the Alexandria database | GGA-PBEsol | optimized geometry; energy relative to the elements, uncorrected = 2.3 eV per formula unit; symmetry = No. 139; density of states at the Fermi level = 4.72 states/eV/f.u.
1.0
-1.9584 1.9584 3.7725
1.9584 -1.9584 3.7725
1.9584 1.9584 -3.7725
Cr Re Te
2 1 1
Direct
0.2500 0.7500 0.5000
0.7500 0.2500 0.5000
0.0000 0.0000 0.0000
0.5000 0.5000 0.0000

***

Cs2ZrFe | the Alexandria database | GGA-PBEsol | optimized geometry; symmetry = No. 225; energy of formation = 1.861 eV/atom; density of states at the Fermi level = 6.58 states/eV/f.u.
1.0
0.0000 4.0585 4.0585
4.0585 0.0000 4.0585
4.0585 4.0585 0.0000
Cs Zr Fe
2 1 1
Direct
0.2500 0.2500 0.2500
0.7500 0.7500 0.7500
0.0000 0.0000 0.0000
0.5000 0.5000 0.5000

***

Hf3CoS6 | the Alexandria database | GGA-PBEsol | optimized geometry; energy relative to the elements, uncorrected = -14.1 eV per formula unit; symmetry = No. 148; density of states at the Fermi level = 2.87 states/eV/f.u.
1.0
3.0274 1.7479 5.6543
-3.0274 1.7479 5.6543
0.0000 -3.4958 5.6543
Hf Co S
3 1 6
Direct
0.0000 0.0000 0.0000
0.3283 0.3283 0.3283
0.6717 0.6717 0.6717
0.5000 0.5000 0.5000
0.0998 0.4189 0.7506
0.2494 0.9002 0.5811
0.4189 0.7506 0.0998
0.5811 0.2494 0.9002
0.7506 0.0998 0.4189
0.9002 0.5811 0.2494

***

FeNi2Ir | the Alexandria database | GGA-PBEsol | optimized geometry; symmetry = No. 8; energy of formation = 0.005 eV/atom; density of states at the Fermi level = 6.48 states/eV/f.u.
1.0
4.1895 -1.2898 0.0000
4.1895 1.2898 0.0000
-0.8088 0.0000 4.3069
Fe Ni Ir
1 2 1
Direct
0.0000 0.0000 0.0000
0.4981 0.4981 0.4861
0.7475 0.7475 0.2437
0.2484 0.2484 0.7415

***

YAl3 | the Alexandria database | GGA-PBEsol | optimized geometry; symmetry = No. 47; energy of formation = -0.227 eV/atom; density of states at the Fermi level = 2.97 states/eV/f.u.
1.0
3.2038 0.0000 0.0000
0.0000 3.7219 0.0000
0.0000 0.0000 6.5942
Y Al
1 3
Direct
0.0000 0.0000 0.0000
0.0000 0.0000 0.5000
0.5000 0.5000 0.2954
0.5000 0.5000 0.7046

***

Li2FeRh | the Alexandria database | GGA-PBEsol | optimized geometry; symmetry = No. 71; energy of formation = 0.057 eV/atom; density of states at the Fermi level = 2.89 states/eV/f.u.
1.0
-1.4302 2.0322 4.3381
1.4302 -2.0322 4.3381
1.4302 2.0322 -4.3381
Li Fe Rh
2 1 1
Direct
0.2485 0.2485 0.0000
0.7515 0.7515 0.0000
0.5000 0.0000 0.5000
0.0000 0.5000 0.5000

***

Mn5Co | the Alexandria database | GGA-PBEsol | optimized geometry; E above lowest polymorph = 17 meV per atom; symmetry = No. 65; energy of formation = 0.025 eV/atom; density of states at the Fermi level = 5.78 states/eV/f.u.
1.0
1.7430 -5.2895 0.0000
1.7430 5.2895 0.0000
0.0000 0.0000 3.4346
Mn Co
5 1
Direct
0.0000 0.0000 0.0000
0.1615 0.8385 0.5000
0.3365 0.6635 0.0000
0.6635 0.3365 0.0000
0.8385 0.1615 0.5000
0.5000 0.5000 0.5000

***

La5AgS8 | the Alexandria database | GGA-PBEsol | optimized geometry; energy relative to the elements, uncorrected = -27.8 eV per formula unit; symmetry = No. 82
1.0
-4.2676 4.2676 4.3291
4.2676 -4.2676 4.3291
4.2676 4.2676 -4.3291
La Ag S
5 1 8
Direct
0.0000 0.0000 0.0000
0.2511 0.1327 0.6192
0.3682 0.7489 0.8816
0.5134 0.6318 0.3808
0.8673 0.4866 0.1184
0.7500 0.2500 0.5000
0.1133 0.3625 0.8896
0.1434 0.3840 0.4002
0.2568 0.8566 0.2406
0.4728 0.2237 0.1104
0.6160 0.0162 0.7594
0.6375 0.5272 0.7508
0.7763 0.8867 0.2492
0.9838 0.7432 0.5998

***

NaLa2RuF | the Alexandria database | GGA-PBEsol | optimized geometry; energy relative to the elements, uncorrected = -1.5 eV per formula unit; symmetry = No. 123; density of states at the Fermi level = 3.76 states/eV/f.u.
1.0
5.3726 0.0000 0.0000
0.0000 5.3726 0.0000
0.0000 0.0000 4.5394
Na La Ru F
1 2 1 1
Direct
0.0000 0.0000 0.0000
0.0000 0.5000 0.5000
0.5000 0.0000 0.5000
0.5000 0.5000 0.5000
0.5000 0.5000 0.0000

***

InH2I | the Alexandria database | GGA-PBEsol | optimized geometry; symmetry = No. 225; density of states at the Fermi level = 1.46 states/eV/f.u.; total energy = -2.15 eV/atom
1.0
0.0000 3.1517 3.1517
3.1517 0.0000 3.1517
3.1517 3.1517 0.0000
In H I
1 2 1
Direct
0.0000 0.0000 0.0000
0.2500 0.2500 0.2500
0.7500 0.7500 0.7500
0.5000 0.5000 0.5000

***

Li2V3O4F4 | the Alexandria database | GGA-PBEsol | optimized geometry; energy relative to the elements, uncorrected = -33.7 eV per formula unit; symmetry = No. 6; density of states at the Fermi level = 5.83 states/eV/f.u.
1.0
4.9750 0.0000 0.0000
0.0000 2.8607 0.0000
-0.1968 0.0000 9.6709
Li V O F
2 3 4 4
Direct
0.0000 0.0000 0.0000
0.0791 0.5000 0.4080
0.0221 0.0000 0.6924
0.5238 0.5000 0.8991
0.6020 0.0000 0.1756
0.2261 0.5000 0.7759
0.3693 0.0000 0.0124
0.7480 0.0000 0.8270
0.7794 0.5000 0.0742
0.2203 0.0000 0.5273
0.3877 0.5000 0.2664
0.8174 0.5000 0.5947
0.8706 0.0000 0.3176

***

K2TlHg | the Alexandria database | GGA-PBEsol | optimized geometry; E above lowest polymorph = 30 meV per atom; symmetry = No. 119; energy of formation = -0.089 eV/atom; density of states at the Fermi level = 2.75 states/eV/f.u.
1.0
-2.6625 2.6625 4.4576
2.6625 -2.6625 4.4576
2.6625 2.6625 -4.4576
K Tl Hg
2 1 1
Direct
0.0000 0.0000 0.0000
0.7500 0.2500 0.5000
0.5000 0.5000 0.0000
0.2500 0.7500 0.5000

***

LaAg2Ge2 | the Alexandria database | GGA-PBEsol | optimized geometry; symmetry = No. 139; energy of formation = -0.520 eV/atom; density of states at the Fermi level = 1.51 states/eV/f.u.
1.0
-2.1535 2.1535 5.4281
2.1535 -2.1535 5.4281
2.1535 2.1535 -5.4281
La Ag Ge
1 2 2
Direct
0.0000 0.0000 0.0000
0.2500 0.7500 0.5000
0.7500 0.2500 0.5000
0.3874 0.3874 0.0000
0.6126 0.6126 0.0000

***

MgScMo2 | the Alexandria database | GGA-PBEsol | optimized geometry; symmetry = No. 99; energy of formation = 0.090 eV/atom; density of states at the Fermi level = 3.89 states/eV/f.u.
1.0
3.2010 0.0000 0.0000
0.0000 3.2010 0.0000
0.0000 0.0000 7.0957
Mg Sc Mo
1 1 2
Direct
0.0000 0.0000 0.0000
0.5000 0.5000 0.6841
0.0000 0.0000 0.4382
0.5000 0.5000 0.2539

***

ZrRe2Te | the Alexandria database | GGA-PBEsol | optimized geometry; energy relative to the elements, uncorrected = 0.9 eV per formula unit; symmetry = No. 25; density of states at the Fermi level = 2.98 states/eV/f.u.
1.0
3.0416 0.0000 0.0000
0.0000 3.9625 0.0000
0.0000 0.0000 6.1013
Zr Re Te
1 2 1
Direct
0.0000 0.0000 0.0000
0.0000 0.0000 0.4256
0.5000 0.5000 0.2716
0.5000 0.5000 0.7230

***

BaCuRh2 | the Alexandria database | GGA-PBEsol | optimized geometry; E above lowest polymorph = 476 meV per atom; symmetry = No. 71; energy of formation = 0.453 eV/atom; density of states at the Fermi level = 3.74 states/eV/f.u.
1.0
-1.5328 2.4952 4.6796
1.5328 -2.4952 4.6796
1.5328 2.4952 -4.6796
Ba Cu Rh
1 1 2
Direct
0.0000 0.0000 0.0000
0.5000 0.5000 0.0000
0.2772 0.7772 0.5000
0.7228 0.2228 0.5000

***

As2PdRh | the Alexandria database | GGA-PBEsol | optimized geometry; symmetry = No. 225; energy of formation = -0.183 eV/atom; density of states at the Fermi level = 2.27 states/eV/f.u.
1.0
0.0000 3.1158 3.1158
3.1158 0.0000 3.1158
3.1158 3.1158 0.0000
As Pd Rh
2 1 1
Direct
0.2500 0.2500 0.2500
0.7500 0.7500 0.7500
0.0000 0.0000 0.0000
0.5000 0.5000 0.5000

***

CaCdNi2Se | the Alexandria database | GGA-PBEsol | optimized geometry; energy relative to the elements, uncorrected = 4.9 eV per formula unit; symmetry = No. 123; density of states at the Fermi level = 2.61 states/eV/f.u.
1.0
4.5328 0.0000 0.0000
0.0000 4.5328 0.0000
0.0000 0.0000 5.1948
Ca Cd Ni Se
1 1 2 1
Direct
0.0000 0.0000 0.0000
0.5000 0.5000 0.5000
0.0000 0.5000 0.0000
0.5000 0.0000 0.0000
0.0000 0.0000 0.5000

***

Cu4Ir3 | the Alexandria database | GGA-PBEsol | optimized geometry; symmetry = No. 139; energy of formation = 0.109 eV/atom; density of states at the Fermi level = 5.39 states/eV/f.u.
1.0
-1.3486 1.3486 12.1377
1.3486 -1.3486 12.1377
1.3486 1.3486 -12.1377
Cu Ir
4 3
Direct
0.0721 0.0721 0.0000
0.3623 0.3623 0.0000
0.6377 0.6377 0.0000
0.9279 0.9279 0.0000
0.2127 0.2127 0.0000
0.5000 0.5000 0.0000
0.7873 0.7873 0.0000

***

LiCu3O3 | the Alexandria database | GGA-PBEsol | optimized geometry; E above lowest polymorph = 3 meV per atom; energy relative to the elements, uncorrected = -5.7 eV per formula unit; symmetry = No. 139; density of states at the Fermi level = 3.26 states/eV/f.u.
1.0
-1.9611 1.9611 17.7480
1.9611 -1.9611 17.7480
1.9611 1.9611 -17.7480
Li Cu O
4 12 12
Direct
0.0597 0.0597 0.0000
0.3110 0.3110 0.0000
0.6890 0.6890 0.0000
0.9403 0.9403 0.0000
0.0000 0.5000 0.5000
0.1241 0.6241 0.5000
0.1763 0.1763 0.0000
0.2500 0.7500 0.5000
0.3759 0.8759 0.5000
0.4283 0.4283 0.0000
0.5000 0.0000 0.5000
0.5717 0.5717 0.0000
0.6241 0.1241 0.5000
0.7500 0.2500 0.5000
0.8237 0.8237 0.0000
0.8759 0.3759 0.5000
0.0000 0.0000 0.0000
0.0723 0.5723 0.5000
0.1760 0.6760 0.5000
0.2528 0.2528 0.0000
0.3240 0.8240 0.5000
0.4277 0.9277 0.5000
0.5000 0.5000 0.0000
0.5723 0.0723 0.5000
0.6760 0.1760 0.5000
0.7472 0.7472 0.0000
0.8240 0.3240 0.5000
0.9277 0.4277 0.5000

***

BaBe2Cu | the Alexandria database | GGA-PBEsol | optimized geometry; E above lowest polymorph = 276 meV per atom; symmetry = No. 141; energy of formation = 0.398 eV/atom; density of states at the Fermi level = 3.20 states/eV/f.u.
1.0
-2.4821 2.4821 6.8533
2.4821 -2.4821 6.8533
2.4821 2.4821 -6.8533
Ba Be Cu
2 4 2
Direct
0.3750 0.6250 0.7500
0.6250 0.3750 0.2500
0.0000 0.0000 0.0000
0.0000 0.0000 0.5000
0.0000 0.5000 0.0000
0.5000 0.0000 0.5000
0.1250 0.8750 0.2500
0.8750 0.1250 0.7500

***

TeIrRuI2 | the Alexandria database | GGA-PBEsol | optimized geometry; energy relative to the elements, uncorrected = 7.2 eV per formula unit; symmetry = No. 123; density of states at the Fermi level = 7.08 states/eV/f.u.
1.0
5.2006 0.0000 0.0000
0.0000 5.2006 0.0000
0.0000 0.0000 4.9368
Te Ir Ru I
1 1 1 2
Direct
0.0000 0.0000 0.0000
0.5000 0.5000 0.0000
0.0000 0.0000 0.5000
0.0000 0.5000 0.5000
0.5000 0.0000 0.5000

***

TlCd3 | the Alexandria database | GGA-PBEsol | optimized geometry; symmetry = No. 62; energy of formation = 0.063 eV/atom; density of states at the Fermi level = 1.42 states/eV/f.u.
1.0
6.3422 0.0000 0.0000
0.0000 9.5498 0.0000
0.0000 0.0000 6.1381
Tl Cd
4 12
Direct
0.0471 0.2500 0.1172
0.4529 0.7500 0.6172
0.5471 0.2500 0.3828
0.9529 0.7500 0.8828
0.1064 0.2500 0.6228
0.2045 0.5120 0.3663
0.2045 0.9880 0.3663
0.2955 0.0120 0.8663
0.2955 0.4880 0.8663
0.3936 0.7500 0.1228
0.6064 0.2500 0.8772
0.7045 0.5120 0.1337
0.7045 0.9880 0.1337
0.7955 0.0120 0.6337
0.7955 0.4880 0.6337
0.8936 0.7500 0.3772

***

ZnIrAu2 | the Alexandria database | GGA-PBEsol | optimized geometry; symmetry = No. 47; energy of formation = 0.087 eV/atom; density of states at the Fermi level = 1.24 states/eV/f.u.
1.0
3.0600 0.0000 0.0000
0.0000 4.4290 0.0000
0.0000 0.0000 4.5315
Zn Ir Au
1 1 2
Direct
0.0000 0.0000 0.0000
0.5000 0.5000 0.0000
0.0000 0.5000 0.5000
0.5000 0.0000 0.5000